Crystalline CrInFeF6 at its relaxed geometry. Source: the Alexandria database, functional PBE+U.

Lattice parameters (Å, degrees): 5.5317 5.5101 5.6491 89.91 89.95 60.14
Closest atoms and distances in Å follow each position.
Positions (direct):
1 F 0.3648 0.0175 0.6855  1 Cr 1.96, 1 Fe 2.11
2 F 0.0213 0.3670 0.3111  1 Cr 1.96, 1 Fe 2.11
3 F 0.3650 0.6177 0.3146  1 Cr 1.96, 1 Fe 2.11
4 F 0.0210 0.6116 0.6887  1 Cr 1.96, 1 Fe 2.11
5 F 0.6127 0.0254 0.3083  1 Cr 1.95, 1 Fe 2.14
6 F 0.6124 0.3620 0.6919  1 Cr 1.95, 1 Fe 2.14
7 In 0.9988 0.0007 0.9999  6 F 2.71-2.73
8 Fe 0.6691 0.6654 0.5000  6 F 2.11-2.14
9 Cr 0.3346 0.3326 0.5000  6 F 1.95-1.96

Results
* DOS at the Fermi energy: 0.000 states/eV/atom
* total magnetization: 6.947 μB/cell
* energy: -5.4313 eV/atom